Record 1
{
  "formula": "BiAsOs3",
  "functional": "PBE-GGA",
  "state": "relaxed",
  "lattice_angstrom": [[-1.139, -4.250, -1.400], [2.405, 0.637, -3.890], [3.774, -1.689, 2.056]],
  "species": ["Os", "Os", "Os", "Bi", "As"],
  "frac_coords": [[0.000, 0.000, 0.500], [0.500, 0.000, 0.000], [0.000, 0.500, 0.000], [0.500, 0.500, 0.500], [0.000, 0.000, 0.000]],
  "space_group": "Pm-3m",
  "vol_a3_per_fu": 98.5,
  "formation_enthalpy_0k_ev_per_fu": 7.20,
  "e_tot_ev_per_atom": -7.0032,
  "dos_at_fermi_per_ev_cell": 2.40
}

***

Record 2
{
  "formula": "Bi3AsOs",
  "functional": "PBE-GGA",
  "state": "relaxed",
  "lattice_angstrom": [[-4.283, 3.079, -0.458], [-0.912, -0.495, 5.192], [2.977, 4.279, 0.930]],
  "species": ["Os", "Bi", "Bi", "Bi", "As"],
  "frac_coords": [[0.000, 0.000, 0.000], [0.000, 0.500, 0.000], [0.000, 0.000, 0.500], [0.500, 0.000, 0.000], [0.500, 0.500, 0.500]],
  "space_group": "Pm-3m",
  "vol_a3_per_fu": 148.4,
  "polymorph_energy_ev_per_fu": 0.00,
  "formation_enthalpy_0k_ev_per_fu": 4.08,
  "e_tot_ev_per_atom": -4.6879,
  "dos_at_fermi_per_ev_cell": 5.62
}